This record from the Alexandria database describes Sc12TlFe6 after structural relaxation. The functional is PBE.

Computed properties:
* energy: -6.92 eV per atom
* crystal system: cubic
* E_form: -2.4 eV per formula unit
* magnetic moment: 5.36 μB/f.u.

Unit cell a=9.0331 b=9.0331 c=9.0331 alpha=90.00 beta=90.00 gamma=90.00
Space group Im-3 (No. 204)
Asymmetric unit:
1 Sc 0.0000 0.2951 0.1956 x24
2 Tl 0.0000 0.0000 0.0000 x2
3 Fe 0.0000 0.1173 0.5000 x12